1.
# CoHIr2Ru, optimized geometry, DFT PBE
data_CoHIr2Ru
_symmetry_space_group_name_H-M 'P 4/m m m'
_symmetry_Int_Tables_number 123
_symmetry_space_group_name_Hall '-P 4 2'
_cell_length_a 3.856
_cell_length_b 3.856
_cell_length_c 3.795
_cell_angle_alpha 90.00
_cell_angle_beta 90.00
_cell_angle_gamma 90.00
loop_
_atom_site_label
_atom_site_type_symbol
_atom_site_fract_x
_atom_site_fract_y
_atom_site_fract_z
Co1 Co 0.000 0.000 0.000
H1 H 0.000 0.000 0.500
Ir1 Ir 0.000 0.500 0.500
Ru1 Ru 0.500 0.500 0.000
# Crystal system: tetragonal
# Raw total energy: -36.52 eV per cell

2.
# AcHoCd, optimized geometry, DFT PBE
data_AcHoCd
_symmetry_space_group_name_H-M 'P -6 m 2'
_symmetry_Int_Tables_number 187
_symmetry_space_group_name_Hall 'P -6 2'
_cell_length_a 5.3959
_cell_length_b 5.3959
_cell_length_c 3.9746
_cell_angle_alpha 90.00
_cell_angle_beta 90.00
_cell_angle_gamma 120.00
loop_
_atom_site_label
_atom_site_type_symbol
_atom_site_fract_x
_atom_site_fract_y
_atom_site_fract_z
Ac1 Ac 0.0000 0.0000 0.0000
Ho1 Ho 0.3333 0.6667 0.5000
Cd1 Cd 0.6667 0.3333 0.5000
# Crystal system: hexagonal
# Raw total energy: -9.81 eV per cell
# Calculated formation energy: -70 meV per atom

3.
# Be3OsRh, optimized geometry, DFT PBE
data_Be3OsRh
_symmetry_space_group_name_H-M 'P m -3 m'
_symmetry_Int_Tables_number 221
_symmetry_space_group_name_Hall '-P 4 2 3'
_cell_length_a 4.087
_cell_length_b 4.087
_cell_length_c 4.087
_cell_angle_alpha 90.00
_cell_angle_beta 90.00
_cell_angle_gamma 90.00
loop_
_atom_site_label
_atom_site_type_symbol
_atom_site_fract_x
_atom_site_fract_y
_atom_site_fract_z
Be1 Be 0.000 0.000 0.500
Os1 Os 0.000 0.000 0.000
Rh1 Rh 0.500 0.500 0.500
# Crystal system: cubic
# Raw total energy: -25.79 eV per cell
# Calculated formation energy: 793 meV per atom

Question: What is the raw total energy in the second record?
Answer: -9.81 eV per cell

Question: raw total energy of number 2 (AcHoCd)?
Answer: -9.81 eV per cell